The following is a GGA-PBE calculation of Na3SmTh2Te6 after structural relaxation, from the Alexandria database.

Unit cell a=7.6607 b=7.6607 c=8.1708 alpha=98.99 beta=98.99 gamma=120.00
Last column: nearest neighbours and their distance in Å.
Atoms (fractional coordinates):
Te  0.4145  0.0809  0.2429  2 Th 3.17, 1 Sm 3.18, 3 Na 3.24
Te  0.9191  0.5855  0.7571  2 Th 3.17, 1 Sm 3.18, 3 Na 3.24
Te  0.2524  0.2524  0.7568  2 Th 3.17, 1 Sm 3.18, 3 Na 3.24
Te  0.7476  0.7476  0.2432  2 Th 3.17, 1 Sm 3.18, 3 Na 3.24
Te  0.5855  0.9191  0.7571  2 Th 3.17, 1 Sm 3.18, 3 Na 3.24
Te  0.0809  0.4145  0.2429  2 Th 3.17, 1 Sm 3.18, 3 Na 3.24
Na  0.8333  0.1667  0.5000  6 Te 3.24
Na  0.5000  0.5000  0.5000  6 Te 3.24
Na  0.1667  0.8333  0.5000  6 Te 3.24
Th  0.3334  0.6666  0.0000  6 Te 3.17
Th  0.6666  0.3334  0.0000  6 Te 3.17
Sm  0.0000  0.0000  0.0000  6 Te 3.18

Final energy   -4.702 eV per atom
Calculated volume   394.49 Å³/cell
Formation energy without anion corrections   -14.1 eV per formula unit

***

The following is a GGA-PBE calculation of SrLi2CdPd after structural relaxation, from the Alexandria database.

Unit cell a=4.8459 b=6.2426 c=4.8459 alpha=90.00 beta=90.00 gamma=90.00
Last column: nearest neighbours and their distance in Å.
Atoms (fractional coordinates):
Cd  0.0000  0.0000  0.0000  4 Li 2.42
Li  0.5000  0.0000  0.0000  2 Cd 2.42
Li  0.0000  0.0000  0.5000  2 Cd 2.42
Pd  0.5000  0.5000  0.5000  4 Sr 3.43
Sr  0.0000  0.5000  0.0000  2 Cd 3.12, 4 Pd 3.43

Final energy   -2.068 eV per atom
Calculated volume   146.60 Å³/cell
ΔE_f   24.6 kJ/mol of atoms

***

The following is a GGA-PBE calculation of PmY2WN4 after structural relaxation, from the Alexandria database.

Unit cell a=3.4157 b=6.1623 c=11.9684 alpha=90.00 beta=90.00 gamma=106.09
Last column: nearest neighbours and their distance in Å.
Atoms (fractional coordinates):
N  0.0000  0.0000  0.5000  4 Y 2.34
N  0.2625  0.5249  0.3762  1 W 1.92
N  0.5608  0.1216  0.2500  2 W 2.09
N  0.7375  0.4751  0.8762  1 W 1.92
N  0.7375  0.4751  0.6238  1 W 1.92
N  0.4392  0.8784  0.7500  2 W 2.09
N  0.0000  0.0000  0.0000  4 Y 2.34
N  0.2625  0.5249  0.1238  1 W 1.92
Y  0.3700  0.7400  0.5375  5 N 2.31-2.54
Y  0.6300  0.2600  0.4625  5 N 2.31-2.54
Y  0.3700  0.7400  0.9625  5 N 2.31-2.54
Y  0.6300  0.2600  0.0375  5 N 2.31-2.54
Pm  0.0966  0.1932  0.7500  6 N 2.53-2.83
Pm  0.9034  0.8068  0.2500  6 N 2.53-2.83
W  0.1626  0.3253  0.2500  4 N 1.92-2.09
W  0.8374  0.6747  0.7500  4 N 1.92-2.09

Final energy   -9.091 eV per atom
Calculated volume   242.05 Å³/cell
Formation energy without anion corrections   -8.8 eV per formula unit

***

The following is a GGA-PBE calculation of ZnCd2Ni after structural relaxation, from the Alexandria database.

Unit cell a=4.5605 b=4.5605 c=4.5605 alpha=60.00 beta=60.00 gamma=60.00
Last column: nearest neighbours and their distance in Å.
Atoms (fractional coordinates):
Zn  0.7500  0.7500  0.7500  4 Cd 2.79, 4 Ni 2.79
Cd  0.0000  0.0000  0.0000  4 Zn 2.79, 4 Cd 2.79
Cd  0.2500  0.2500  0.2500  4 Cd 2.79, 4 Ni 2.79
Ni  0.5000  0.5000  0.5000  4 Cd 2.79, 4 Zn 2.79

Final energy   -2.122 eV per atom
Calculated volume   67.07 Å³/cell
ΔE_f   9.6 kJ/mol of atoms